1.
Cs2KTlI4: optimized geometry, PBE.

Geometry as CIF:
```
data_Cs2KTlI4
_chemical_formula_sum 'Cs2 K1 Tl1 I4'
_space_group_name_H-M_alt 'P 1 2/m 1'
_space_group_IT_number 10
_cell_length_a 9.147
_cell_length_b 5.284
_cell_length_c 9.184
_cell_angle_alpha 90.00
_cell_angle_beta 109.36
_cell_angle_gamma 90.00
loop_
_space_group_symop_operation_xyz
'x,y,z'
'-x,-y,-z'
'-x,y,-z'
'x,-y,z'
loop_
_atom_site_label
_atom_site_fract_x
_atom_site_fract_y
_atom_site_fract_z
Cs1 0.000 0.000 0.000
Cs2 0.500 0.500 0.000
K1 0.000 0.500 0.500
Tl1 0.500 0.000 0.500
I1 0.242 0.000 0.725
I2 0.259 0.500 0.275
```

Values from the calculation:
DFT total energy   -2.73 eV/atom

2.
Nd3ScTl4: optimized geometry, PBE.

Geometry as CIF:
```
data_Nd3ScTl4
_chemical_formula_sum 'Nd6 Sc2 Tl8'
_space_group_name_H-M_alt 'P m n 21'
_space_group_IT_number 31
_cell_length_a 10.692
_cell_length_b 6.564
_cell_length_c 6.649
_cell_angle_alpha 90.00
_cell_angle_beta 90.00
_cell_angle_gamma 90.00
loop_
_space_group_symop_operation_xyz
'x,y,z'
'-x+1/2,-y,z+1/2'
'-x,y,z'
'x+1/2,-y,z+1/2'
loop_
_atom_site_label
_atom_site_fract_x
_atom_site_fract_y
_atom_site_fract_z
Nd1 0.000 0.084 0.000
Nd2 0.231 0.728 0.198
Sc1 0.000 0.566 0.858
Tl1 0.000 0.473 0.405
Tl2 0.000 0.998 0.492
Tl3 0.235 0.770 0.701
```

Values from the calculation:
Energy of formation from the pure elements   -240 meV per atom
DFT total energy   -4.00 eV/atom

3.
ZnIn3Hg: optimized geometry, PBE.

Geometry as CIF:
```
data_ZnIn3Hg
_chemical_formula_sum 'Zn1 In3 Hg1'
_space_group_name_H-M_alt 'P m -3 m'
_space_group_IT_number 221
_space_group_name_Hall '-P 4 2 3'
_cell_length_a 5.276
_cell_length_b 5.276
_cell_length_c 5.276
_cell_angle_alpha 90.00
_cell_angle_beta 90.00
_cell_angle_gamma 90.00
loop_
_atom_site_label
_atom_site_fract_x
_atom_site_fract_y
_atom_site_fract_z
Zn1 0.000 0.000 0.000
In1 0.000 0.000 0.500
Hg1 0.500 0.500 0.500
```

Values from the calculation:
Energy of formation from the pure elements   205 meV per atom
DFT total energy   -1.75 eV/atom

4.
RbLa2Pa3N8: optimized geometry, PBE.

Geometry as CIF:
```
data_RbLa2Pa3N8
_chemical_formula_sum 'Rb3 La6 Pa9 N24'
_space_group_name_H-M_alt 'R 3 m'
_space_group_IT_number 160
_space_group_name_Hall 'R 3 -2"'
_cell_length_a 7.1885
_cell_length_b 7.1885
_cell_length_c 18.0271
_cell_angle_alpha 90.00
_cell_angle_beta 90.00
_cell_angle_gamma 120.00
loop_
_atom_site_label
_atom_site_fract_x
_atom_site_fract_y
_atom_site_fract_z
Rb1 0.0000 0.0000 0.0000
La1 0.0000 0.0000 0.3728
La2 0.0000 0.0000 0.7564
Pa1 0.0032 0.5016 0.8747
N1 0.0000 0.0000 0.1515
N2 0.0000 0.0000 0.6078
N3 0.0352 0.5176 0.1388
N4 0.1985 0.3970 0.9376
```

Values from the calculation:
DFT total energy   -8.72 eV/atom

5.
PRhC: optimized geometry, PBE.

Geometry as CIF:
```
data_PRhC
_chemical_formula_sum 'P1 Rh1 C1'
_space_group_name_H-M_alt 'P 1'
_space_group_IT_number 1
_cell_length_a 2.919
_cell_length_b 3.704
_cell_length_c 4.257
_cell_angle_alpha 103.29
_cell_angle_beta 90.30
_cell_angle_gamma 112.83
loop_
_space_group_symop_operation_xyz
'x,y,z'
loop_
_atom_site_label
_atom_site_fract_x
_atom_site_fract_y
_atom_site_fract_z
P1 0.000 0.000 0.000
Rh1 0.677 0.354 0.711
C1 0.594 0.189 0.219
```

Values from the calculation:
Energy of formation from the pure elements   323 meV per atom
DFT total energy   -7.01 eV/atom

6.
BeNiIr2Pt: optimized geometry, PBE.

Geometry as CIF:
```
data_BeNiIr2Pt
_chemical_formula_sum 'Be1 Ni1 Ir2 Pt1'
_space_group_name_H-M_alt 'P 4/m m m'
_space_group_IT_number 123
_space_group_name_Hall '-P 4 2'
_cell_length_a 4.475
_cell_length_b 4.475
_cell_length_c 3.777
_cell_angle_alpha 90.00
_cell_angle_beta 90.00
_cell_angle_gamma 90.00
loop_
_atom_site_label
_atom_site_fract_x
_atom_site_fract_y
_atom_site_fract_z
Be1 0.000 0.000 0.000
Ni1 0.000 0.000 0.500
Ir1 0.000 0.500 0.500
Pt1 0.500 0.500 0.000
```

Values from the calculation:
Energy of formation from the pure elements   978 meV per atom
DFT total energy   -5.68 eV/atom

7.
Sm3ZnIr8: optimized geometry, PBE.

Geometry as CIF:
```
data_Sm3ZnIr8
_chemical_formula_sum 'Sm9 Zn3 Ir24'
_space_group_name_H-M_alt 'R 3 m'
_space_group_IT_number 160
_space_group_name_Hall 'R 3 -2"'
_cell_length_a 5.3669
_cell_length_b 5.3669
_cell_length_c 26.2156
_cell_angle_alpha 90.00
_cell_angle_beta 90.00
_cell_angle_gamma 120.00
loop_
_atom_site_label
_atom_site_fract_x
_atom_site_fract_y
_atom_site_fract_z
Sm1 0.0000 0.0000 0.0000
Sm2 0.0000 0.0000 0.1283
Sm3 0.0000 0.0000 0.5106
Zn1 0.0000 0.0000 0.6373
Ir1 0.0000 0.0000 0.3154
Ir2 0.0000 0.0000 0.8157
Ir3 0.0006 0.5003 0.5670
Ir4 0.1669 0.3338 0.3985
```

Values from the calculation:
Energy of formation from the pure elements   -524 meV per atom
DFT total energy   -7.72 eV/atom

8.
K2URe2N6: optimized geometry, PBE.

Geometry as CIF:
```
data_K2URe2N6
_chemical_formula_sum 'K4 U2 Re4 N12'
_space_group_name_H-M_alt 'C 1 2/m 1'
_space_group_IT_number 12
_cell_length_a 10.783
_cell_length_b 6.081
_cell_length_c 7.081
_cell_angle_alpha 90.00
_cell_angle_beta 122.27
_cell_angle_gamma 90.00
loop_
_space_group_symop_operation_xyz
'x,y,z'
'-x,-y,-z'
'-x,y,-z'
'x,-y,z'
'x+1/2,y+1/2,z'
'-x+1/2,-y+1/2,-z'
'-x+1/2,y+1/2,-z'
'x+1/2,-y+1/2,z'
loop_
_atom_site_label
_atom_site_fract_x
_atom_site_fract_y
_atom_site_fract_z
K1 0.210 0.000 0.168
U1 0.000 0.000 0.500
Re1 0.055 0.500 0.211
N1 0.013 0.248 0.728
N2 0.248 0.500 0.326
```

Values from the calculation:
DFT total energy   -8.51 eV/atom